The following is a DFT calculation (GGA+U) of an optimized crystal structure of SrAlVO4.

Structure (extended XYZ):
```
14
Lattice="5.380 0.000 0.056 0.000 5.485 0.000 -2.039 0.000 6.354" Properties=species:S:1:pos:R:3 pbc="T T T"
V -0.093 1.371 3.441
Sr 1.343 1.371 0.375
Sr 1.997 4.114 6.034
Al 2.583 1.371 4.207
O 1.600 4.114 3.723
Al 0.758 4.114 2.202
O 1.741 1.371 2.687
O -0.488 5.393 1.965
O 2.127 4.114 1.102
O -0.488 2.834 1.965
O 3.829 2.651 4.444
V 3.434 4.114 2.968
O 1.213 1.371 5.307
O 3.829 0.092 4.444
```

Properties
- Final energy: -50.2 eV per formula unit